Compound: HfF
Source: the Alexandria database
Functional: PBE-GGA
Structure: optimized geometry

```
HfF
1.0
7.177 0.000 0.000
0.000 7.177 0.000
0.000 0.000 7.177
Hf F
8 8
direct
0.147 0.147 0.853
0.147 0.853 0.147
0.353 0.353 0.353
0.353 0.647 0.647
0.647 0.353 0.647
0.647 0.647 0.353
0.853 0.147 0.147
0.853 0.853 0.853
0.180 0.180 0.180
0.180 0.820 0.820
0.320 0.320 0.680
0.320 0.680 0.320
0.680 0.320 0.320
0.680 0.680 0.680
0.820 0.180 0.820
0.820 0.820 0.180
```

Computed properties:
Formation energy without anion corrections: -0.755 eV per atom
Fermi-level density of states: 0.794 states/eV per atom
SG: No. 217
Excess energy over the best structure of this formula in the dataset: 2.76 eV per formula unit
Raw total energy: -106.68 eV for the cell shown